Entry from Alexandria via LeMat-Bulk: crystalline Na3Cr5F12 at its relaxed geometry (PBE with a Hubbard U).

abc: 11.8161 11.8161 11.8161
angles: 109.47 109.47 109.47
Closest atoms and distances in Å follow each position.
Atoms (fractional coordinates):
Na  0.1250  0.2500  0.3750  4 F 2.28
Na  0.1250  0.3750  0.7500  4 F 2.28
Na  0.2500  0.3750  0.1250  4 F 2.28
Na  0.2500  0.8750  0.6250  4 F 2.28
Na  0.3750  0.1250  0.2500  4 F 2.28
Na  0.3750  0.7500  0.1250  4 F 2.28
Na  0.6250  0.2500  0.8750  4 F 2.28
Na  0.6250  0.8750  0.7500  4 F 2.28
Na  0.7500  0.1250  0.3750  4 F 2.28
Na  0.7500  0.6250  0.8750  4 F 2.28
Na  0.8750  0.6250  0.2500  4 F 2.28
Na  0.8750  0.7500  0.6250  4 F 2.28
Cr  0.0000  0.0000  0.0000  6 F 2.00
Cr  0.0000  0.0000  0.5000  6 F 2.00
Cr  0.0000  0.5000  0.0000  6 F 2.00
Cr  0.0000  0.5000  0.5000  6 F 2.00
Cr  0.1250  0.7500  0.8750  4 F 2.17
Cr  0.1250  0.8750  0.2500  4 F 2.17
Cr  0.2500  0.1250  0.8750  4 F 2.17
Cr  0.2500  0.6250  0.3750  4 F 2.17
Cr  0.3750  0.2500  0.6250  4 F 2.17
Cr  0.3750  0.6250  0.7500  4 F 2.17
Cr  0.5000  0.0000  0.0000  6 F 2.00
Cr  0.5000  0.0000  0.5000  6 F 2.00
Cr  0.5000  0.5000  0.0000  6 F 2.00
Cr  0.5000  0.5000  0.5000  6 F 2.00
Cr  0.6250  0.3750  0.2500  4 F 2.17
Cr  0.6250  0.7500  0.3750  4 F 2.17
Cr  0.7500  0.3750  0.6250  4 F 2.17
Cr  0.7500  0.8750  0.1250  4 F 2.17
Cr  0.8750  0.1250  0.7500  4 F 2.17
Cr  0.8750  0.2500  0.1250  4 F 2.17
F  0.0068  0.1581  0.1406  2 Cr 2.00-2.17
F  0.0068  0.3487  0.8662  2 Cr 2.00-2.17
F  0.0175  0.6581  0.6513  2 Cr 2.00-2.17
F  0.0175  0.8594  0.3662  2 Cr 2.00-2.17
F  0.1338  0.6406  0.4825  2 Cr 2.00-2.17
F  0.1338  0.9932  0.6513  2 Cr 2.00-2.17
F  0.1406  0.0068  0.1581  2 Cr 2.00-2.17
F  0.1406  0.6338  0.9825  2 Cr 2.00-2.17
F  0.1513  0.1581  0.5175  2 Cr 2.00-2.17
F  0.1513  0.4932  0.6338  2 Cr 2.00-2.17
F  0.1581  0.1406  0.0068  2 Cr 2.00-2.17
F  0.1581  0.5175  0.1513  2 Cr 2.00-2.17
F  0.3419  0.3487  0.9825  2 Cr 2.00-2.17
F  0.3419  0.4932  0.3594  2 Cr 2.00-2.17
F  0.3487  0.8662  0.0068  2 Cr 2.00-2.17
F  0.3487  0.9825  0.3419  2 Cr 2.00-2.17
F  0.3594  0.3419  0.4932  2 Cr 2.00-2.17
F  0.3594  0.5175  0.8662  2 Cr 2.00-2.17
F  0.3662  0.0175  0.8594  2 Cr 2.00-2.17
F  0.3662  0.8487  0.5068  2 Cr 2.00-2.17
F  0.4825  0.1338  0.6406  2 Cr 2.00-2.17
F  0.4825  0.8487  0.8419  2 Cr 2.00-2.17
F  0.4932  0.3594  0.3419  2 Cr 2.00-2.17
F  0.4932  0.6338  0.1513  2 Cr 2.00-2.17
F  0.5068  0.3662  0.8487  2 Cr 2.00-2.17
F  0.5068  0.6406  0.6581  2 Cr 2.00-2.17
F  0.5175  0.1513  0.1581  2 Cr 2.00-2.17
F  0.5175  0.8662  0.3594  2 Cr 2.00-2.17
F  0.6338  0.1513  0.4932  2 Cr 2.00-2.17
F  0.6338  0.9825  0.1406  2 Cr 2.00-2.17
F  0.6406  0.4825  0.1338  2 Cr 2.00-2.17
F  0.6406  0.6581  0.5068  2 Cr 2.00-2.17
F  0.6513  0.0175  0.6581  2 Cr 2.00-2.17
F  0.6513  0.1338  0.9932  2 Cr 2.00-2.17
F  0.6581  0.5068  0.6406  2 Cr 2.00-2.17
F  0.6581  0.6513  0.0175  2 Cr 2.00-2.17
F  0.8419  0.4825  0.8487  2 Cr 2.00-2.17
F  0.8419  0.8594  0.9932  2 Cr 2.00-2.17
F  0.8487  0.5068  0.3662  2 Cr 2.00-2.17
F  0.8487  0.8419  0.4825  2 Cr 2.00-2.17
F  0.8594  0.3662  0.0175  2 Cr 2.00-2.17
F  0.8594  0.9932  0.8419  2 Cr 2.00-2.17
F  0.8662  0.0068  0.3487  2 Cr 2.00-2.17
F  0.8662  0.3594  0.5175  2 Cr 2.00-2.17
F  0.9825  0.1406  0.6338  2 Cr 2.00-2.17
F  0.9825  0.3419  0.3487  2 Cr 2.00-2.17
F  0.9932  0.6513  0.1338  2 Cr 2.00-2.17
F  0.9932  0.8419  0.8594  2 Cr 2.00-2.17

Summary:
Uncorrected energy = -443.08 eV per cell
Symmetry = Ia-3d (230)
Density of states at the Fermi level = 4.1 states/eV per cell